Ac2TbMg: relaxed, PBE-GGA.

Cell lengths 8.353, 8.353, 8.353 Å; angles 90.00, 90.00, 90.00 degrees
Space group Fm-3m (No. 225)
One atom of each set of equivalent atoms:
Ac (0.250, 0.250, 0.250) (multiplicity 8)
Tb (0.000, 0.000, 0.000) (multiplicity 4)
Mg (0.000, 0.000, 0.500) (multiplicity 4)

Excess energy over the best structure of this formula in the dataset: 0.036 eV/atom
DFT formation energy: 0.033 eV per atom
Uncorrected energy: -3.5771 eV/atom